The following is a DFT calculation (PBE-GGA) of a relaxed structure of Mn6V5W.

```
data_Mn6V5W
_chemical_formula_sum 'Mn12 V10 W2'
_cell_length_a 4.1000
_cell_length_b 12.2730
_cell_length_c 5.8057
_cell_angle_alpha 90.00
_cell_angle_beta 90.00
_cell_angle_gamma 90.00
_symmetry_space_group_name_H-M 'C m m m'
_symmetry_Int_Tables_number 65
_symmetry_space_group_name_Hall '-C 2 2'
loop_
_atom_site_label
_atom_site_fract_x
_atom_site_fract_y
_atom_site_fract_z
Mn1 0.0000 0.0000 0.2454
Mn2 0.0000 0.3318 0.2476
V1 0.0000 0.1671 0.0000
V2 0.0000 0.1686 0.5000
V3 0.0000 0.5000 0.0000
W1 0.0000 0.5000 0.5000
```

N(E_F) (states/eV per cell): 9.11
DFT formation energy (eV/atom): -0.2197